1.
# PBE Ho12NiPd6, relaxed
# Size of the total moment (μB per cell): 0.00
# Mass density (g/cm³): 8.58
# Calculated total energy (eV for the cell shown): -305.0
data_Ho12NiPd6
_chemical_formula_sum 'Ho36 Ni3 Pd18'
_space_group_name_H-M_alt 'R -3'
_space_group_IT_number 148
_space_group_name_Hall '-R 3'
_cell_length_a 12.4073
_cell_length_b 12.4073
_cell_length_c 11.6566
_cell_angle_alpha 90.00
_cell_angle_beta 90.00
_cell_angle_gamma 120.00
loop_
_atom_site_label
_atom_site_type_symbol
_atom_site_fract_x
_atom_site_fract_y
_atom_site_fract_z
Ho1 Ho 0.0260 0.2088 0.3903
Ho2 Ho 0.0412 0.1985 0.8812
Ni1 Ni 0.0000 0.0000 0.0000
Pd1 Pd 0.0437 0.2685 0.6450

***

2.
# PBE LaMn2Au, relaxed
# Size of the total moment (μB per cell): 7.45
# Mass density (g/cm³): 8.30
# Calculated total energy (eV for the cell shown): -25.9
data_LaMn2Au
_chemical_formula_sum 'La1 Mn2 Au1'
_space_group_name_H-M_alt 'P 1 2/m 1'
_space_group_IT_number 10
_space_group_name_Hall '-P 2y'
_cell_length_a 3.579
_cell_length_b 4.654
_cell_length_c 5.462
_cell_angle_alpha 90.00
_cell_angle_beta 101.37
_cell_angle_gamma 90.00
loop_
_atom_site_label
_atom_site_type_symbol
_atom_site_fract_x
_atom_site_fract_y
_atom_site_fract_z
La1 La 0.000 0.000 0.000
Mn1 Mn 0.368 0.500 0.723
Au1 Au 0.500 0.000 0.500

***

3.
# PBE In2CuSi, relaxed
# Size of the total moment (μB per cell): 0.00
# Mass density (g/cm³): 6.72
# Calculated total energy (eV for the cell shown): -27.1
data_In2CuSi
_chemical_formula_sum 'In4 Cu2 Si2'
_space_group_name_H-M_alt 'I -4 m 2'
_space_group_IT_number 119
_space_group_name_Hall 'I -4 -2'
_cell_length_a 4.088
_cell_length_b 4.088
_cell_length_c 9.497
_cell_angle_alpha 90.00
_cell_angle_beta 90.00
_cell_angle_gamma 90.00
loop_
_atom_site_label
_atom_site_type_symbol
_atom_site_fract_x
_atom_site_fract_y
_atom_site_fract_z
In1 In 0.000 0.000 0.000
In2 In 0.000 0.500 0.250
Cu1 Cu 0.000 0.000 0.500
Si1 Si 0.000 0.500 0.750

***

- Number 2 is which compound?
  LaMn2Au

***

- Which formula does entry 1 have?
  Ho12NiPd6